Record 1
This record from the Alexandria database describes ZnCd2Re after structural relaxation. The functional is PBE.

Calculated values
Volume ... 142.9 Å³ per cell
Energy relative to the elements ... 0.4803 eV/atom
E ... -27.3 eV for the cell shown

The structure in CIF format:
```
data_ZnCd2Re
_chemical_formula_sum 'Zn2 Cd4 Re2'
_cell_length_a 2.8902
_cell_length_b 4.9506
_cell_length_c 9.9907
_cell_angle_alpha 90.00
_cell_angle_beta 90.00
_cell_angle_gamma 90.00
_symmetry_space_group_name_H-M 'I m m 2'
_symmetry_Int_Tables_number 44
_symmetry_space_group_name_Hall 'I 2 -2'
loop_
_atom_site_label
_atom_site_type_symbol
_atom_site_fract_x
_atom_site_fract_y
_atom_site_fract_z
_atom_site_occupancy
Zn1 Zn 0.0000 0.0000 0.0000 1
Cd1 Cd 0.0000 0.0000 0.5309 1
Cd2 Cd 0.0000 0.5000 0.7577 1
Re1 Re 0.0000 0.5000 0.2831 1
```



Record 2
This record from the Alexandria database describes ZnCd2Re after structural relaxation. The functional is PBE.

Calculated values
Volume ... 70.3 Å³ per cell
Energy relative to the elements ... 0.4252 eV/atom
E ... -13.9 eV for the cell shown

The structure in CIF format:
```
data_ZnCd2Re
_chemical_formula_sum 'Zn1 Cd2 Re1'
_cell_length_a 2.7888
_cell_length_b 4.3796
_cell_length_c 5.9187
_cell_angle_alpha 90.00
_cell_angle_beta 103.52
_cell_angle_gamma 90.00
_symmetry_space_group_name_H-M 'P 1 m 1'
_symmetry_Int_Tables_number 6
_symmetry_space_group_name_Hall 'P -2y'
loop_
_atom_site_label
_atom_site_type_symbol
_atom_site_fract_x
_atom_site_fract_y
_atom_site_fract_z
_atom_site_occupancy
Zn1 Zn 0.0000 0.0000 0.0000 1
Cd1 Cd 0.1476 0.5000 0.2975 1
Cd2 Cd 0.7743 0.0000 0.5492 1
Re1 Re 0.4189 0.5000 0.8351 1
```



Record 3
This record from the Alexandria database describes ZnCd2Re after structural relaxation. The functional is PBE.

Calculated values
Volume ... 212.5 Å³ per cell
Energy relative to the elements ... 0.4583 eV/atom
E ... -41.2 eV for the cell shown

The structure in CIF format:
```
data_ZnCd2Re
_chemical_formula_sum 'Zn3 Cd6 Re3'
_cell_length_a 2.9010
_cell_length_b 2.9010
_cell_length_c 29.1597
_cell_angle_alpha 90.00
_cell_angle_beta 90.00
_cell_angle_gamma 120.00
_symmetry_space_group_name_H-M 'R -3 m'
_symmetry_Int_Tables_number 166
_symmetry_space_group_name_Hall '-R 3 2"'
loop_
_atom_site_label
_atom_site_type_symbol
_atom_site_fract_x
_atom_site_fract_y
_atom_site_fract_z
_atom_site_occupancy
Zn1 Zn 0.0000 0.0000 0.0000 1
Cd1 Cd 0.0000 0.0000 0.2495 1
Re1 Re 0.0000 0.0000 0.5000 1
```



Record 4
This record from the Alexandria database describes ZnCd2Re after structural relaxation. The functional is PBE.

Calculated values
Volume ... 280.6 Å³ per cell
Energy relative to the elements ... 0.6796 eV/atom
E ... -51.3 eV for the cell shown

The structure in CIF format:
```
data_ZnCd2Re
_chemical_formula_sum 'Zn4 Cd8 Re4'
_cell_length_a 6.5471
_cell_length_b 6.5471
_cell_length_c 6.5471
_cell_angle_alpha 90.00
_cell_angle_beta 90.00
_cell_angle_gamma 90.00
_symmetry_space_group_name_H-M 'F -4 3 m'
_symmetry_Int_Tables_number 216
_symmetry_space_group_name_Hall 'F -4 2 3'
loop_
_atom_site_label
_atom_site_type_symbol
_atom_site_fract_x
_atom_site_fract_y
_atom_site_fract_z
_atom_site_occupancy
Zn1 Zn 0.0000 0.0000 0.0000 1
Cd1 Cd 0.0000 0.0000 0.5000 1
Cd2 Cd 0.2500 0.2500 0.7500 1
Re1 Re 0.2500 0.2500 0.2500 1
```



Record 5
This record from the Alexandria database describes ZnCdRe after structural relaxation. The functional is PBE.

Calculated values
Volume ... 100.3 Å³ per cell
Energy relative to the elements ... 0.4873 eV/atom
E ... -26.4 eV for the cell shown
ΔE to the lowest computed polymorph ... 1.11 eV per formula unit

The structure in CIF format:
```
data_ZnCdRe
_chemical_formula_sum 'Zn2 Cd2 Re2'
_cell_length_a 2.7533
_cell_length_b 2.7533
_cell_length_c 13.2277
_cell_angle_alpha 90.00
_cell_angle_beta 90.00
_cell_angle_gamma 90.00
_symmetry_space_group_name_H-M 'I 4 m m'
_symmetry_Int_Tables_number 107
_symmetry_space_group_name_Hall 'I 4 -2'
loop_
_atom_site_label
_atom_site_type_symbol
_atom_site_fract_x
_atom_site_fract_y
_atom_site_fract_z
_atom_site_occupancy
Zn1 Zn 0.0000 0.0000 0.0000 1
Cd1 Cd 0.0000 0.0000 0.6784 1
Re1 Re 0.0000 0.0000 0.3527 1
```



Record 6
This record from the Alexandria database describes ZnCd2Re after structural relaxation. The functional is PBE.

Calculated values
Volume ... 140.0 Å³ per cell
Energy relative to the elements ... 0.4292 eV/atom
E ... -27.7 eV for the cell shown

The structure in CIF format:
```
data_ZnCd2Re
_chemical_formula_sum 'Zn2 Cd4 Re2'
_cell_length_a 5.6293
_cell_length_b 8.7347
_cell_length_c 2.8479
_cell_angle_alpha 90.00
_cell_angle_beta 91.14
_cell_angle_gamma 90.00
_symmetry_space_group_name_H-M 'C 1 2/m 1'
_symmetry_Int_Tables_number 12
_symmetry_space_group_name_Hall '-C 2y'
loop_
_atom_site_label
_atom_site_type_symbol
_atom_site_fract_x
_atom_site_fract_y
_atom_site_fract_z
_atom_site_occupancy
Zn1 Zn 0.0000 0.0000 0.0000 1
Cd1 Cd 0.2500 0.2500 0.5000 1
Re1 Re 0.0000 0.5000 0.0000 1
```



Record 7
This record from the Alexandria database describes ZnCd2Re after structural relaxation. The functional is PBE.

Calculated values
Volume ... 70.8 Å³ per cell
Energy relative to the elements ... 0.4499 eV/atom
E ... -13.8 eV for the cell shown

The structure in CIF format:
```
data_ZnCd2Re
_chemical_formula_sum 'Zn1 Cd2 Re1'
_cell_length_a 2.7859
_cell_length_b 4.2467
_cell_length_c 5.9885
_cell_angle_alpha 90.00
_cell_angle_beta 90.00
_cell_angle_gamma 90.00
_symmetry_space_group_name_H-M 'P m m 2'
_symmetry_Int_Tables_number 25
_symmetry_space_group_name_Hall 'P 2 -2'
loop_
_atom_site_label
_atom_site_type_symbol
_atom_site_fract_x
_atom_site_fract_y
_atom_site_fract_z
_atom_site_occupancy
Zn1 Zn 0.0000 0.0000 0.0000 1
Cd1 Cd 0.0000 0.0000 0.5538 1
Cd2 Cd 0.5000 0.5000 0.2884 1
Re1 Re 0.5000 0.5000 0.8142 1
```



Record 8
This record from the Alexandria database describes ZnCd2Re after structural relaxation. The functional is PBE.

Calculated values
Volume ... 69.2 Å³ per cell
Energy relative to the elements ... 0.5034 eV/atom
E ... -13.5 eV for the cell shown

The structure in CIF format:
```
data_ZnCd2Re
_chemical_formula_sum 'Zn1 Cd2 Re1'
_cell_length_a 4.0521
_cell_length_b 4.0521
_cell_length_c 4.2138
_cell_angle_alpha 90.00
_cell_angle_beta 90.00
_cell_angle_gamma 90.00
_symmetry_space_group_name_H-M 'P 4/m m m'
_symmetry_Int_Tables_number 123
_symmetry_space_group_name_Hall '-P 4 2'
loop_
_atom_site_label
_atom_site_type_symbol
_atom_site_fract_x
_atom_site_fract_y
_atom_site_fract_z
_atom_site_occupancy
Zn1 Zn 0.0000 0.0000 0.0000 1
Cd1 Cd 0.0000 0.5000 0.5000 1
Re1 Re 0.5000 0.5000 0.0000 1
```



Record 9
This record from the Alexandria database describes ZrCdRe2 after structural relaxation. The functional is PBE.

Calculated values
Volume ... 141.7 Å³ per cell
Energy relative to the elements ... 0.4196 eV/atom
E ... -65.4 eV for the cell shown

The structure in CIF format:
```
data_ZrCdRe2
_chemical_formula_sum 'Zr2 Cd2 Re4'
_cell_length_a 3.9951
_cell_length_b 3.9951
_cell_length_c 8.8767
_cell_angle_alpha 90.00
_cell_angle_beta 90.00
_cell_angle_gamma 90.00
_symmetry_space_group_name_H-M 'I 4/m m m'
_symmetry_Int_Tables_number 139
_symmetry_space_group_name_Hall '-I 4 2'
loop_
_atom_site_label
_atom_site_type_symbol
_atom_site_fract_x
_atom_site_fract_y
_atom_site_fract_z
_atom_site_occupancy
Zr1 Zr 0.0000 0.0000 0.0000 1
Cd1 Cd 0.0000 0.0000 0.5000 1
Re1 Re 0.0000 0.5000 0.2500 1
```



Record 10
This record from the Alexandria database describes ZrCdRe2 after structural relaxation. The functional is PBE.

Calculated values
Volume ... 310.8 Å³ per cell
Energy relative to the elements ... 1.0802 eV/atom
E ... -120.2 eV for the cell shown

The structure in CIF format:
```
data_ZrCdRe2
_chemical_formula_sum 'Zr4 Cd4 Re8'
_cell_length_a 7.5265
_cell_length_b 7.5265
_cell_length_c 5.4857
_cell_angle_alpha 90.00
_cell_angle_beta 90.00
_cell_angle_gamma 90.00
_symmetry_space_group_name_H-M 'I -4 2 d'
_symmetry_Int_Tables_number 122
_symmetry_space_group_name_Hall 'I -4 2bw'
loop_
_atom_site_label
_atom_site_type_symbol
_atom_site_fract_x
_atom_site_fract_y
_atom_site_fract_z
_atom_site_occupancy
Zr1 Zr 0.0000 0.0000 0.0000 1
Cd1 Cd 0.0000 0.0000 0.5000 1
Re1 Re 0.2458 0.7500 0.1250 1
```



Record 11
This record from the Alexandria database describes ZrCdRe3 after structural relaxation. The functional is PBE.

Calculated values
Volume ... 113.1 Å³ per cell
Energy relative to the elements ... 2.4590 eV/atom
E ... -34.5 eV for the cell shown
ΔE to the lowest computed polymorph ... 0.00 eV per formula unit

The structure in CIF format:
```
data_ZrCdRe3
_chemical_formula_sum 'Zr1 Cd1 Re3'
_cell_length_a 4.8358
_cell_length_b 4.8358
_cell_length_c 4.8358
_cell_angle_alpha 90.00
_cell_angle_beta 90.00
_cell_angle_gamma 90.00
_symmetry_space_group_name_H-M 'P m -3 m'
_symmetry_Int_Tables_number 221
_symmetry_space_group_name_Hall '-P 4 2 3'
loop_
_atom_site_label
_atom_site_type_symbol
_atom_site_fract_x
_atom_site_fract_y
_atom_site_fract_z
_atom_site_occupancy
Zr1 Zr 0.0000 0.0000 0.0000 1
Cd1 Cd 0.5000 0.5000 0.5000 1
Re1 Re 0.0000 0.0000 0.5000 1
```



Record 12
This record from the Alexandria database describes Zr2CdRe after structural relaxation. The functional is PBE.

Calculated values
Volume ... 80.8 Å³ per cell
Energy relative to the elements ... 0.2171 eV/atom
E ... -29.6 eV for the cell shown

The structure in CIF format:
```
data_Zr2CdRe
_chemical_formula_sum 'Zr2 Cd1 Re1'
_cell_length_a 2.8864
_cell_length_b 4.7461
_cell_length_c 5.8968
_cell_angle_alpha 90.00
_cell_angle_beta 90.00
_cell_angle_gamma 90.00
_symmetry_space_group_name_H-M 'P m m 2'
_symmetry_Int_Tables_number 25
_symmetry_space_group_name_Hall 'P 2 -2'
loop_
_atom_site_label
_atom_site_type_symbol
_atom_site_fract_x
_atom_site_fract_y
_atom_site_fract_z
_atom_site_occupancy
Zr1 Zr 0.0000 0.0000 0.0000 1
Zr2 Zr 0.5000 0.5000 0.2800 1
Cd1 Cd 0.0000 0.0000 0.5159 1
Re1 Re 0.5000 0.5000 0.8122 1
```



Record 13
This record from the Alexandria database describes ZrCdRe2 after structural relaxation. The functional is PBE.

Calculated values
Volume ... 74.1 Å³ per cell
Energy relative to the elements ... 0.4362 eV/atom
E ... -32.6 eV for the cell shown

The structure in CIF format:
```
data_ZrCdRe2
_chemical_formula_sum 'Zr1 Cd1 Re2'
_cell_length_a 3.5128
_cell_length_b 3.5128
_cell_length_c 6.0018
_cell_angle_alpha 90.00
_cell_angle_beta 90.00
_cell_angle_gamma 90.00
_symmetry_space_group_name_H-M 'P 4/m m m'
_symmetry_Int_Tables_number 123
_symmetry_space_group_name_Hall '-P 4 2'
loop_
_atom_site_label
_atom_site_type_symbol
_atom_site_fract_x
_atom_site_fract_y
_atom_site_fract_z
_atom_site_occupancy
Zr1 Zr 0.0000 0.0000 0.0000 1
Cd1 Cd 0.0000 0.0000 0.5000 1
Re1 Re 0.5000 0.5000 0.2140 1
```



Record 14
This record from the Alexandria database describes ZrCdRe2 after structural relaxation. The functional is PBE.

Calculated values
Volume ... 69.8 Å³ per cell
Energy relative to the elements ... 0.3205 eV/atom
E ... -33.1 eV for the cell shown

The structure in CIF format:
```
data_ZrCdRe2
_chemical_formula_sum 'Zr1 Cd1 Re2'
_cell_length_a 4.0546
_cell_length_b 4.0546
_cell_length_c 4.2433
_cell_angle_alpha 90.00
_cell_angle_beta 90.00
_cell_angle_gamma 90.00
_symmetry_space_group_name_H-M 'P 4/m m m'
_symmetry_Int_Tables_number 123
_symmetry_space_group_name_Hall '-P 4 2'
loop_
_atom_site_label
_atom_site_type_symbol
_atom_site_fract_x
_atom_site_fract_y
_atom_site_fract_z
_atom_site_occupancy
Zr1 Zr 0.0000 0.0000 0.0000 1
Cd1 Cd 0.5000 0.5000 0.0000 1
Re1 Re 0.0000 0.5000 0.5000 1
```



Record 15
This record from the Alexandria database describes Zr2CdRe after structural relaxation. The functional is PBE.

Calculated values
Volume ... 157.3 Å³ per cell
Energy relative to the elements ... 0.1235 eV/atom
E ... -59.9 eV for the cell shown

The structure in CIF format:
```
data_Zr2CdRe
_chemical_formula_sum 'Zr4 Cd2 Re2'
_cell_length_a 4.1956
_cell_length_b 4.1956
_cell_length_c 8.9385
_cell_angle_alpha 90.00
_cell_angle_beta 90.00
_cell_angle_gamma 90.00
_symmetry_space_group_name_H-M 'I -4 m 2'
_symmetry_Int_Tables_number 119
_symmetry_space_group_name_Hall 'I -4 -2'
loop_
_atom_site_label
_atom_site_type_symbol
_atom_site_fract_x
_atom_site_fract_y
_atom_site_fract_z
_atom_site_occupancy
Zr1 Zr 0.0000 0.0000 0.0000 1
Zr2 Zr 0.0000 0.5000 0.2500 1
Cd1 Cd 0.0000 0.5000 0.7500 1
Re1 Re 0.0000 0.0000 0.5000 1
```